[1]
A geometry-optimized ZrGa2BiSb structure. Source: the Alexandria database, functional PBE.

## Properties
For the total magnetic moment, the calculation gives 0.00 μB per formula unit. Its symmetry is P4/mmm (123). The energy is -20.62 eV/cell.

abc: 5.278 5.278 5.551
angles: 90.00 90.00 90.00
Atoms (fractional coordinates):
Zr1 0.000 0.000 0.000
Ga1 0.000 0.500 0.000
Ga2 0.500 0.000 0.000
Bi1 0.500 0.500 0.500
Sb1 0.000 0.000 0.500

=====

[2]
A geometry-optimized Sc2GaBi structure. Source: the Alexandria database, functional PBE.

## Properties
For the relative energy among the computed polymorphs, the calculation gives 0.226 eV/atom. For the total magnetic moment, the calculation gives 0.00 μB per formula unit. Its symmetry is Fm-3m (225).

abc: 5.054 5.054 5.054
angles: 60.00 60.00 60.00
Atoms (fractional coordinates):
Sc1 0.250 0.250 0.250
Sc2 0.750 0.750 0.750
Ga1 0.000 0.000 0.000
Bi1 0.500 0.500 0.500

=====

[3]
A geometry-optimized Sc4GaBi2 structure. Source: the Alexandria database, functional PBE.

## Properties
For the total magnetic moment, the calculation gives 0.00 μB per formula unit. Its symmetry is I4/mmm (139). The energy is -38.59 eV/cell.

abc: 8.445 8.445 8.445
angles: 145.87 145.87 49.05
Atoms (fractional coordinates):
Sc1 0.000 0.500 0.500
Sc2 0.169 0.169 0.000
Sc3 0.500 0.000 0.500
Sc4 0.831 0.831 0.000
Ga1 0.000 0.000 0.000
Bi1 0.362 0.362 0.000
Bi2 0.638 0.638 0.000

=====

[4]
A geometry-optimized Sc3GaBi structure. Source: the Alexandria database, functional PBE.

## Properties
For the relative energy among the computed polymorphs, the calculation gives 0.000 eV/atom. For the total magnetic moment, the calculation gives 0.00 μB per formula unit. Its symmetry is C2/c (15).

abc: 8.826 8.826 6.193
angles: 95.73 95.73 93.28
Atoms (fractional coordinates):
Sc1 0.064 0.737 0.946
Sc2 0.166 0.552 0.365
Sc3 0.254 0.392 0.905
Sc4 0.263 0.936 0.554
Sc5 0.392 0.254 0.405
Sc6 0.448 0.834 0.135
Sc7 0.552 0.166 0.865
Sc8 0.608 0.746 0.595
Sc9 0.737 0.064 0.446
Sc10 0.746 0.608 0.095
Sc11 0.834 0.448 0.635
Sc12 0.936 0.263 0.054
Ga1 0.330 0.670 0.750
Ga2 0.464 0.536 0.250
Ga3 0.536 0.464 0.750
Ga4 0.670 0.330 0.250
Bi1 0.059 0.224 0.525
Bi2 0.224 0.059 0.025
Bi3 0.776 0.941 0.975
Bi4 0.941 0.776 0.475

=====

[5]
A geometry-optimized ScGaBi structure. Source: the Alexandria database, functional PBE.

## Properties
For the relative energy among the computed polymorphs, the calculation gives 0.000 eV/atom. For the total magnetic moment, the calculation gives 0.00 μB per formula unit. Its symmetry is P3m1 (156).

abc: 4.625 4.625 4.013
angles: 90.00 90.00 120.00
Atoms (fractional coordinates):
Sc1 0.000 0.000 0.000
Ga1 0.667 0.333 0.200
Bi1 0.333 0.667 0.562

=====

[6]
A geometry-optimized Sc2GaBi structure. Source: the Alexandria database, functional PBE.

## Properties
For the relative energy among the computed polymorphs, the calculation gives 0.431 eV/atom. For the total magnetic moment, the calculation gives 0.00 μB per formula unit. Its symmetry is R-3m (166).

abc: 10.149 10.149 10.149
angles: 19.50 19.50 19.50
Atoms (fractional coordinates):
Sc1 0.100 0.100 0.100
Sc2 0.900 0.900 0.900
Ga1 0.500 0.500 0.500
Bi1 0.000 0.000 0.000

=====

[7]
A geometry-optimized Sc3GaBi structure. Source: the Alexandria database, functional PBE.

## Properties
For the relative energy among the computed polymorphs, the calculation gives 0.156 eV/atom. For the total magnetic moment, the calculation gives 0.00 μB per formula unit. Its symmetry is Pm-3m (221).

abc: 5.071 5.071 5.071
angles: 90.00 90.00 90.00
Atoms (fractional coordinates):
Sc1 0.000 0.000 0.500
Sc2 0.000 0.500 0.000
Sc3 0.500 0.000 0.000
Ga1 0.000 0.000 0.000
Bi1 0.500 0.500 0.500

=====

[8]
A geometry-optimized Sc2GaBi structure. Source: the Alexandria database, functional PBE.

## Properties
For the relative energy among the computed polymorphs, the calculation gives 0.161 eV/atom. For the total magnetic moment, the calculation gives 0.01 μB per formula unit. Its symmetry is P4/mmm (123).

abc: 4.613 4.613 4.182
angles: 90.00 90.00 90.00
Atoms (fractional coordinates):
Sc1 0.000 0.500 0.000
Sc2 0.500 0.000 0.000
Ga1 0.000 0.000 0.500
Bi1 0.500 0.500 0.500

=====

[9]
A geometry-optimized Sc2GaBi structure. Source: the Alexandria database, functional PBE.

## Properties
For the relative energy among the computed polymorphs, the calculation gives 0.171 eV/atom. For the total magnetic moment, the calculation gives 0.00 μB per formula unit. Its symmetry is R-3m (166).

abc: 8.331 8.331 8.331
angles: 25.64 25.64 25.64
Atoms (fractional coordinates):
Sc1 0.242 0.242 0.242
Sc2 0.758 0.758 0.758
Ga1 0.500 0.500 0.500
Bi1 0.000 0.000 0.000

=====

[10]
A geometry-optimized Sc5GaBi4 structure. Source: the Alexandria database, functional PBE.

## Properties
For the total magnetic moment, the calculation gives 0.00 μB per formula unit. Its symmetry is I4/m (87). The energy is -55.55 eV/cell.

abc: 7.287 7.287 7.287
angles: 99.61 99.61 131.78
Atoms (fractional coordinates):
Sc1 0.000 0.000 0.000
Sc2 0.213 0.400 0.613
Sc3 0.400 0.787 0.187
Sc4 0.600 0.213 0.813
Sc5 0.787 0.600 0.387
Ga1 0.500 0.500 0.000
Bi1 0.094 0.697 0.791
Bi2 0.303 0.094 0.396
Bi3 0.697 0.906 0.604
Bi4 0.906 0.303 0.209

=====

[11]
A geometry-optimized Sc2GaBi2 structure. Source: the Alexandria database, functional PBE.

## Properties
For the relative energy among the computed polymorphs, the calculation gives 0.000 eV/atom. For the total magnetic moment, the calculation gives 0.00 μB per formula unit. Its symmetry is P4/mbm (127).

abc: 7.683 7.683 4.224
angles: 90.00 90.00 90.00
Atoms (fractional coordinates):
Sc1 0.152 0.348 0.000
Sc2 0.348 0.848 0.000
Sc3 0.652 0.152 0.000
Sc4 0.848 0.652 0.000
Ga1 0.000 0.000 0.000
Ga2 0.500 0.500 0.000
Bi1 0.161 0.661 0.500
Bi2 0.339 0.161 0.500
Bi3 0.661 0.839 0.500
Bi4 0.839 0.339 0.500

=====

[12]
A geometry-optimized Sc3GaBi2 structure. Source: the Alexandria database, functional PBE.

## Properties
For the total magnetic moment, the calculation gives 0.00 μB per formula unit. Its symmetry is Immm (71). The energy is -32.67 eV/cell.

abc: 6.604 6.604 6.604
angles: 138.38 126.27 70.17
Atoms (fractional coordinates):
Sc1 0.000 0.000 0.000
Sc2 0.352 0.352 0.000
Sc3 0.648 0.648 0.000
Ga1 0.500 0.000 0.500
Bi1 0.179 0.679 0.500
Bi2 0.821 0.321 0.500